VASP calculation (PBE) on an optimized crystal structure of LiTmCu4.

Lattice parameters (Å, degrees): 5.001 5.001 5.001 60.00 60.00 60.00
Element x y z (fractional)
Li: 0.000 0.000 0.000
Tm: 0.250 0.250 0.250
Cu: 0.122 0.626 0.626
Cu: 0.626 0.122 0.626
Cu: 0.626 0.626 0.122
Cu: 0.626 0.626 0.626

Output
The calculation puts the total energy at -0.13775 Ha/atom. As for the space group: F-43m (216).